(1)
DFT (PBEsol) results for a relaxed structure of ReIr2Se.

```
data_ReIr2Se
_cell_length_a 3.9257
_cell_length_b 3.9257
_cell_length_c 4.7370
_cell_angle_alpha 114.48
_cell_angle_beta 114.48
_cell_angle_gamma 90.00
_symmetry_space_group_name_H-M 'P 1'
_symmetry_Int_Tables_number 1
loop_
_symmetry_equiv_pos_as_xyz
'x,y,z'
loop_
_atom_site_label
_atom_site_type_symbol
_atom_site_fract_x
_atom_site_fract_y
_atom_site_fract_z
Ir1 Ir 0.2500 0.7500 0.5000
Ir2 Ir 0.7500 0.2500 0.5000
Se1 Se 0.0000 0.0000 0.0000
Re1 Re 0.5000 0.5000 0.0000
```

Results
The calculation puts the density of states at the Fermi level at 3.342 states/eV per cell. The crystal system is tetragonal. The value obtained for the electronic total energy is -8.652 eV/atom. The uncorrected formation energy comes out at 0.555 eV per atom.

=====

(2)
DFT (PBEsol) results for a relaxed structure of Re2IrSe2.

```
data_Re2IrSe2
_cell_length_a 3.8064
_cell_length_b 3.8064
_cell_length_c 6.2585
_cell_angle_alpha 107.70
_cell_angle_beta 107.70
_cell_angle_gamma 90.00
_symmetry_space_group_name_H-M 'P 1'
_symmetry_Int_Tables_number 1
loop_
_symmetry_equiv_pos_as_xyz
'x,y,z'
loop_
_atom_site_label
_atom_site_type_symbol
_atom_site_fract_x
_atom_site_fract_y
_atom_site_fract_z
Ir1 Ir 0.0000 0.0000 0.0000
Se1 Se 0.2500 0.7500 0.5000
Se2 Se 0.7500 0.2500 0.5000
Re1 Re 0.6075 0.6075 0.2151
Re2 Re 0.3925 0.3925 0.7849
```

Results
The calculation puts the density of states at the Fermi level at 2.479 states/eV per cell. The crystal system is tetragonal. The value obtained for the electronic total energy is -8.103 eV/atom. The uncorrected formation energy comes out at 0.735 eV per atom.

=====

(3)
DFT (PBEsol) results for a relaxed structure of Re2IrSe.

```
data_Re2IrSe
_cell_length_a 2.8280
_cell_length_b 4.5424
_cell_length_c 4.6751
_cell_angle_alpha 90.00
_cell_angle_beta 90.00
_cell_angle_gamma 90.00
_symmetry_space_group_name_H-M 'P 1'
_symmetry_Int_Tables_number 1
loop_
_symmetry_equiv_pos_as_xyz
'x,y,z'
loop_
_atom_site_label
_atom_site_type_symbol
_atom_site_fract_x
_atom_site_fract_y
_atom_site_fract_z
Re1 Re 0.0000 0.0000 0.0000
Re2 Re 0.5000 0.5000 0.0000
Ir1 Ir 0.0000 0.5000 0.5000
Se1 Se 0.5000 0.0000 0.5000
```

Results
The calculation puts the density of states at the Fermi level at 4.394 states/eV per cell. The crystal system is orthorhombic. The value obtained for the electronic total energy is -9.438 eV/atom. The uncorrected formation energy comes out at 0.647 eV per atom.

=====

(4)
DFT (PBEsol) results for a relaxed structure of Re2IrSe.

```
data_Re2IrSe
_cell_length_a 2.8759
_cell_length_b 4.5093
_cell_length_c 4.5093
_cell_angle_alpha 90.00
_cell_angle_beta 90.00
_cell_angle_gamma 90.00
_symmetry_space_group_name_H-M 'P 1'
_symmetry_Int_Tables_number 1
loop_
_symmetry_equiv_pos_as_xyz
'x,y,z'
loop_
_atom_site_label
_atom_site_type_symbol
_atom_site_fract_x
_atom_site_fract_y
_atom_site_fract_z
Se1 Se 0.5000 0.5000 0.5000
Ir1 Ir 0.5000 0.0000 0.0000
Re1 Re 0.0000 0.0000 0.5000
Re2 Re 0.0000 0.5000 0.0000
```

Results
The calculation puts the density of states at the Fermi level at 3.642 states/eV per cell. The crystal system is tetragonal. The value obtained for the electronic total energy is -9.607 eV/atom. The uncorrected formation energy comes out at 0.477 eV per atom.

=====

Look up the electronic total energy of the second one.
-8.103 eV/atom

=====

The highest electronic total energy belongs to which entry?
Re2IrSe2

=====

Copy entry 1 word for word.
DFT (PBEsol) results for a relaxed structure of ReIr2Se.

```
data_ReIr2Se
_cell_length_a 3.9257
_cell_length_b 3.9257
_cell_length_c 4.7370
_cell_angle_alpha 114.48
_cell_angle_beta 114.48
_cell_angle_gamma 90.00
_symmetry_space_group_name_H-M 'P 1'
_symmetry_Int_Tables_number 1
loop_
_symmetry_equiv_pos_as_xyz
'x,y,z'
loop_
_atom_site_label
_atom_site_type_symbol
_atom_site_fract_x
_atom_site_fract_y
_atom_site_fract_z
Ir1 Ir 0.2500 0.7500 0.5000
Ir2 Ir 0.7500 0.2500 0.5000
Se1 Se 0.0000 0.0000 0.0000
Re1 Re 0.5000 0.5000 0.0000
```

Results
The calculation puts the density of states at the Fermi level at 3.342 states/eV per cell. The crystal system is tetragonal. The value obtained for the electronic total energy is -8.652 eV/atom. The uncorrected formation energy comes out at 0.555 eV per atom.